{"formula": "CrFe4Cl", "functional": "PBE", "state": "relaxed", "lattice": [[0.000, 3.484, 3.484], [3.484, 0.000, 3.484], [3.484, 3.484, 0.000]], "species": ["Cr", "Fe", "Fe", "Fe", "Fe", "Cl"], "fractional_positions": [[0.000, 0.000, 0.000], [0.122, 0.626, 0.626], [0.626, 0.122, 0.626], [0.626, 0.626, 0.122], [0.626, 0.626, 0.626], [0.250, 0.250, 0.250]], "dos_ef_per_ev_fu": 6.32, "total_energy_ev_per_atom": -6.993, "m_tot_mub_per_cell": 6.75, "volume_a3_per_cell": 85, "raw_formation_energy_ev_per_atom": 0.560}



{"formula": "CrFeCl2", "functional": "PBE", "state": "relaxed", "lattice": [[0.000, 2.939, 2.939], [2.939, 0.000, 2.939], [2.939, 2.939, 0.000]], "species": ["Cr", "Fe", "Cl", "Cl"], "fractional_positions": [[0.000, 0.000, 0.000], [0.500, 0.500, 0.500], [0.250, 0.250, 0.250], [0.750, 0.750, 0.750]], "dos_ef_per_ev_fu": 5.94, "total_energy_ev_per_atom": -4.631, "m_tot_mub_per_cell": 0.00, "volume_a3_per_cell": 51, "de_polymorph_mev_per_atom": 971, "raw_formation_energy_ev_per_atom": 0.814}



{"formula": "CrFe2Cl", "functional": "PBE", "state": "relaxed", "lattice": [[2.938, 0.000, 0.000], [0.000, 3.007, 0.000], [0.000, 0.000, 6.700]], "species": ["Cr", "Fe", "Fe", "Cl"], "fractional_positions": [[0.000, 0.000, 0.000], [0.000, 0.000, 0.395], [0.500, 0.500, 0.185], [0.500, 0.000, 0.704]], "dos_ef_per_ev_fu": 3.89, "total_energy_ev_per_atom": -6.908, "m_tot_mub_per_cell": 2.80, "volume_a3_per_cell": 59, "de_polymorph_mev_per_atom": 0, "raw_formation_energy_ev_per_atom": 0.191}



{"formula": "CrFeCl2", "functional": "PBE", "state": "relaxed", "lattice": [[1.607, -3.062, 0.000], [1.607, 3.062, 0.000], [0.000, 0.000, 7.749]], "species": ["Cr", "Fe", "Cl", "Cl"], "fractional_positions": [[0.000, 0.000, 0.000], [0.000, 0.000, 0.500], [0.500, 0.500, 0.261], [0.500, 0.500, 0.739]], "dos_ef_per_ev_fu": 3.92, "total_energy_ev_per_atom": -5.246, "m_tot_mub_per_cell": 7.83, "volume_a3_per_cell": 76, "de_polymorph_mev_per_atom": 355, "raw_formation_energy_ev_per_atom": 0.198}



{"formula": "CrFe2Cl", "functional": "PBE", "state": "relaxed", "lattice": [[0.000, 2.904, 2.904], [2.904, 0.000, 2.904], [2.904, 2.904, 0.000]], "species": ["Cr", "Fe", "Fe", "Cl"], "fractional_positions": [[0.000, 0.000, 0.000], [0.250, 0.250, 0.250], [0.750, 0.750, 0.750], [0.500, 0.500, 0.500]], "dos_ef_per_ev_fu": 6.12, "total_energy_ev_per_atom": -6.098, "m_tot_mub_per_cell": 4.55, "volume_a3_per_cell": 49, "de_polymorph_mev_per_atom": 810, "raw_formation_energy_ev_per_atom": 1.001}



{"formula": "CrFeCl2", "functional": "PBE", "state": "relaxed", "lattice": [[3.419, -1.770, 0.000], [3.419, 1.770, 0.000], [-0.588, 0.000, 6.703]], "species": ["Cr", "Fe", "Cl", "Cl"], "fractional_positions": [[0.000, 0.000, 0.000], [0.274, 0.274, 0.917], [0.451, 0.451, 0.218], [0.799, 0.799, 0.707]], "dos_ef_per_ev_fu": 1.88, "total_energy_ev_per_atom": -5.440, "m_tot_mub_per_cell": 0.00, "volume_a3_per_cell": 81, "de_polymorph_mev_per_atom": 161, "raw_formation_energy_ev_per_atom": 0.004}



{"formula": "CrFe2Cl", "functional": "PBE", "state": "relaxed", "lattice": [[2.413, -4.026, 0.000], [2.413, 4.026, 0.000], [0.000, 0.000, 2.712]], "species": ["Cr", "Fe", "Fe", "Cl"], "fractional_positions": [[0.000, 0.000, 0.000], [0.000, 0.500, 0.500], [0.500, 0.000, 0.500], [0.500, 0.500, 0.000]], "dos_ef_per_ev_fu": 5.09, "total_energy_ev_per_atom": -6.381, "m_tot_mub_per_cell": 6.34, "volume_a3_per_cell": 53, "de_polymorph_mev_per_atom": 526, "raw_formation_energy_ev_per_atom": 0.718}



{"formula": "CrFe2Cl", "functional": "PBE", "state": "relaxed", "lattice": [[-1.393, 2.167, 4.310], [1.393, -2.167, 4.310], [1.393, 2.167, -4.310]], "species": ["Cr", "Fe", "Fe", "Cl"], "fractional_positions": [[0.000, 0.000, 0.000], [0.265, 0.765, 0.500], [0.536, 0.536, 0.000], [0.771, 0.271, 0.500]], "dos_ef_per_ev_fu": 4.85, "total_energy_ev_per_atom": -6.489, "m_tot_mub_per_cell": 2.10, "volume_a3_per_cell": 52, "de_polymorph_mev_per_atom": 419, "raw_formation_energy_ev_per_atom": 0.610}



{"formula": "CrFe2Cl", "functional": "PBE", "state": "relaxed", "lattice": [[4.378, 0.000, 0.000], [0.000, 4.378, 0.000], [0.000, 0.000, 2.795]], "species": ["Cr", "Fe", "Fe", "Cl"], "fractional_positions": [[0.000, 0.000, 0.000], [0.000, 0.500, 0.500], [0.500, 0.000, 0.500], [0.500, 0.500, 0.000]], "dos_ef_per_ev_fu": 4.64, "total_energy_ev_per_atom": -6.345, "m_tot_mub_per_cell": 1.45, "volume_a3_per_cell": 54, "de_polymorph_mev_per_atom": 563, "raw_formation_energy_ev_per_atom": 0.754}



{"formula": "CrFe2Cl", "functional": "PBE", "state": "relaxed", "lattice": [[2.880, 0.000, 0.000], [0.000, 4.145, 0.000], [0.000, 0.000, 4.765]], "species": ["Cr", "Fe", "Fe", "Cl"], "fractional_positions": [[0.000, 0.000, 0.000], [0.000, 0.500, 0.500], [0.500, 0.000, 0.500], [0.500, 0.500, 0.000]], "dos_ef_per_ev_fu": 4.21, "total_energy_ev_per_atom": -6.440, "m_tot_mub_per_cell": 8.89, "volume_a3_per_cell": 57, "de_polymorph_mev_per_atom": 468, "raw_formation_energy_ev_per_atom": 0.659}



{"formula": "CrFe2Cl", "functional": "PBE", "state": "relaxed", "lattice": [[-1.734, 1.734, 4.983], [1.734, -1.734, 4.983], [1.734, 1.734, -4.983]], "species": ["Cr", "Fe", "Fe", "Cl"], "fractional_positions": [[0.000, 0.000, 0.000], [0.250, 0.750, 0.500], [0.750, 0.250, 0.500], [0.500, 0.500, 0.000]], "dos_ef_per_ev_fu": 5.30, "total_energy_ev_per_atom": -6.337, "m_tot_mub_per_cell": 9.31, "volume_a3_per_cell": 60, "de_polymorph_mev_per_atom": 571, "raw_formation_energy_ev_per_atom": 0.762}



{"formula": "CrFe2Cl", "functional": "PBE", "state": "relaxed", "lattice": [[1.415, 0.817, 7.638], [-1.415, 0.817, 7.638], [0.000, -1.634, 7.638]], "species": ["Cr", "Fe", "Fe", "Cl"], "fractional_positions": [[0.000, 0.000, 0.000], [0.253, 0.253, 0.253], [0.747, 0.747, 0.747], [0.500, 0.500, 0.500]], "dos_ef_per_ev_fu": 5.70, "total_energy_ev_per_atom": -6.686, "m_tot_mub_per_cell": 4.74, "volume_a3_per_cell": 53, "de_polymorph_mev_per_atom": 221, "raw_formation_energy_ev_per_atom": 0.413}



{"formula": "CrFeCl4", "functional": "PBE", "state": "relaxed", "lattice": [[0.000, 4.121, 4.121], [4.121, 0.000, 4.121], [4.121, 4.121, 0.000]], "species": ["Cr", "Fe", "Cl", "Cl", "Cl", "Cl"], "fractional_positions": [[0.000, 0.000, 0.000], [0.250, 0.250, 0.250], [0.126, 0.625, 0.625], [0.625, 0.126, 0.625], [0.625, 0.625, 0.126], [0.625, 0.625, 0.625]], "dos_ef_per_ev_fu": 13.09, "total_energy_ev_per_atom": -3.254, "m_tot_mub_per_cell": 7.06, "volume_a3_per_cell": 140, "raw_formation_energy_ev_per_atom": 0.992}



{"formula": "CrFe2Cl", "functional": "PBE", "state": "relaxed", "lattice": [[2.933, 0.000, 0.000], [0.000, 3.304, 0.000], [0.000, 0.000, 6.312]], "species": ["Cr", "Fe", "Fe", "Cl"], "fractional_positions": [[0.000, 0.000, 0.000], [0.500, 0.500, 0.186], [0.500, 0.500, 0.814], [0.000, 0.500, 0.500]], "dos_ef_per_ev_fu": 3.67, "total_energy_ev_per_atom": -6.813, "m_tot_mub_per_cell": 1.72, "volume_a3_per_cell": 61, "de_polymorph_mev_per_atom": 95, "raw_formation_energy_ev_per_atom": 0.286}



{"formula": "Cr2FeCl", "functional": "PBE", "state": "relaxed", "lattice": [[4.636, -1.410, 0.000], [4.636, 1.410, 0.000], [-0.051, 0.000, 4.054]], "species": ["Cr", "Cr", "Fe", "Cl"], "fractional_positions": [[0.000, 0.000, 0.000], [0.706, 0.706, 0.734], [0.427, 0.427, 0.570], [0.231, 0.231, 0.245]], "dos_ef_per_ev_fu": 3.03, "total_energy_ev_per_atom": -6.834, "m_tot_mub_per_cell": 0.88, "volume_a3_per_cell": 53, "de_polymorph_mev_per_atom": 332, "raw_formation_energy_ev_per_atom": 0.555}



{"formula": "CrFe2Cl", "functional": "PBE", "state": "relaxed", "lattice": [[2.940, 0.000, 0.000], [0.000, 2.940, 0.000], [0.000, 0.000, 6.679]], "species": ["Cr", "Fe", "Fe", "Cl"], "fractional_positions": [[0.000, 0.000, 0.000], [0.000, 0.000, 0.417], [0.500, 0.500, 0.206], [0.500, 0.500, 0.730]], "dos_ef_per_ev_fu": 4.03, "total_energy_ev_per_atom": -6.795, "m_tot_mub_per_cell": 2.31, "volume_a3_per_cell": 58, "de_polymorph_mev_per_atom": 113, "raw_formation_energy_ev_per_atom": 0.304}



{"formula": "Cr2FeCl", "functional": "PBE", "state": "relaxed", "lattice": [[1.374, 0.794, 7.989], [-1.374, 0.794, 7.989], [0.000, -1.587, 7.989]], "species": ["Cr", "Cr", "Fe", "Cl"], "fractional_positions": [[0.000, 0.000, 0.000], [0.247, 0.247, 0.247], [0.739, 0.739, 0.739], [0.509, 0.509, 0.509]], "dos_ef_per_ev_fu": 4.65, "total_energy_ev_per_atom": -6.967, "m_tot_mub_per_cell": 1.04, "volume_a3_per_cell": 52, "de_polymorph_mev_per_atom": 198, "raw_formation_energy_ev_per_atom": 0.422}



{"formula": "Cr2FeCl", "functional": "PBE", "state": "relaxed", "lattice": [[0.000, 2.862, 2.862], [2.862, 0.000, 2.862], [2.862, 2.862, 0.000]], "species": ["Cr", "Cr", "Fe", "Cl"], "fractional_positions": [[0.250, 0.250, 0.250], [0.750, 0.750, 0.750], [0.000, 0.000, 0.000], [0.500, 0.500, 0.500]], "dos_ef_per_ev_fu": 4.47, "total_energy_ev_per_atom": -6.513, "m_tot_mub_per_cell": 0.00, "volume_a3_per_cell": 47, "de_polymorph_mev_per_atom": 653, "raw_formation_energy_ev_per_atom": 0.876}



{"formula": "CrFeCl2", "functional": "PBE", "state": "relaxed", "lattice": [[3.391, 0.000, 0.000], [0.000, 3.365, 0.000], [-1.606, 0.000, 6.958]], "species": ["Cr", "Fe", "Cl", "Cl"], "fractional_positions": [[0.000, 0.000, 0.000], [0.424, 0.500, 0.840], [0.317, 0.000, 0.617], [0.581, 0.500, 0.169]], "dos_ef_per_ev_fu": 3.94, "total_energy_ev_per_atom": -5.601, "m_tot_mub_per_cell": 1.98, "volume_a3_per_cell": 79, "de_polymorph_mev_per_atom": 0, "raw_formation_energy_ev_per_atom": -0.156}



{"formula": "Cr2FeCl", "functional": "PBE", "state": "relaxed", "lattice": [[2.715, -3.328, 0.000], [2.715, 3.328, 0.000], [0.000, 0.000, 2.799]], "species": ["Cr", "Cr", "Fe", "Cl"], "fractional_positions": [[0.000, 0.500, 0.000], [0.500, 0.000, 0.000], [0.000, 0.000, 0.500], [0.500, 0.500, 0.500]], "dos_ef_per_ev_fu": 5.74, "total_energy_ev_per_atom": -6.637, "m_tot_mub_per_cell": 5.30, "volume_a3_per_cell": 51, "de_polymorph_mev_per_atom": 528, "raw_formation_energy_ev_per_atom": 0.752}